## i
3
Lattice="-2.395 -1.669 -1.646 2.778 -1.594 0.986 -3.045 -1.576 6.031" Properties=species:S:1:pos:R:3 comment="UInS, optimized geometry, DFT GGA-PBE" space_group="P3m1 (156)" total_magnetization_mub_per_fu=2.33 pbc="T T T"
U -1.807 -2.232 1.482
S -0.921 -2.641 4.019
In -2.980 -1.542 5.900

=====

## ii
6
Lattice="-3.263 1.617 1.163 -1.663 -0.958 -3.307 -0.379 -9.240 5.189" Properties=species:S:1:pos:R:3 comment="UInS, optimized geometry, DFT GGA-PBE" space_group="C2/m (12)" total_magnetization_mub_per_fu=2.62 pbc="T T T"
S -1.235 -7.861 4.087
S -4.071 -0.720 -1.043
U -1.607 -1.017 0.011
U -3.699 -7.563 3.034
In -4.184 -4.831 1.286
In -1.122 -3.750 1.759

=====

Stability check: which of them is least stable? i.

=====

## i
4
Lattice="-0.297 2.139 2.993 2.347 -0.431 2.816 5.926 6.204 -1.571" Properties=species:S:1:pos:R:3 comment="UInS2, optimized geometry, DFT GGA-PBE" space_group="R-3m (166)" total_magnetization_mub_per_fu=3.23 pbc="T T T"
S 3.708 3.491 4.700
S 4.268 4.422 -0.462
U 0.000 0.000 0.000
In 3.988 3.956 2.119

=====

## ii
4
Lattice="3.404 0.000 0.000 0.000 3.404 0.000 0.000 0.000 7.753" Properties=species:S:1:pos:R:3 comment="UInS2, optimized geometry, DFT GGA-PBE" space_group="P4/mmm (123)" total_magnetization_mub_per_fu=2.60 pbc="T T T"
U 1.702 1.702 0.000
S 0.000 0.000 6.223
S 0.000 0.000 1.530
In 1.702 1.702 3.877

=====

## iii
4
Lattice="3.892 0.000 0.000 1.946 3.371 0.000 1.946 1.124 7.968" Properties=species:S:1:pos:R:3 comment="UInS2, optimized geometry, DFT GGA-PBE" space_group="R3m (160)" total_magnetization_mub_per_fu=2.90 pbc="T T T"
In 3.892 2.247 3.964
S 1.946 1.124 1.567
S 1.946 1.124 6.420
U 3.892 2.247 0.001

=====

## iv
4
Lattice="-2.738 2.566 -1.244 -1.499 -0.321 -3.643 -6.928 -3.840 1.044" Properties=species:S:1:pos:R:3 comment="UInS2, optimized geometry, DFT GGA-PBE" space_group="R-3m (166)" total_magnetization_mub_per_fu=3.02 pbc="T T T"
S -8.645 -1.422 -2.750
S -2.520 -0.173 -1.092
In -5.582 -0.798 -1.921
U 0.000 0.000 0.000

=====

Stability check: which of them is least stable? i.

=====

## i
5
Lattice="-2.487 -0.602 3.511 2.900 -2.830 1.569 2.069 3.242 2.022" Properties=species:S:1:pos:R:3 comment="V3InS, optimized geometry, DFT GGA-PBE" space_group="Pm-3m (221)" total_magnetization_mub_per_fu=2.39 pbc="T T T"
In 1.241 -0.095 3.551
S 0.000 0.000 0.000
V -1.244 -0.301 1.756
V 1.450 -1.415 0.784
V 1.035 1.621 1.011

=====

## ii
5
Lattice="-1.229 -4.173 -2.499 4.158 -2.239 1.694 -2.524 -1.656 4.007" Properties=species:S:1:pos:R:3 comment="V3InS, optimized geometry, DFT GGA-PBE" space_group="Pm-3m (221)" total_magnetization_mub_per_fu=8.23 pbc="T T T"
V -0.614 -2.087 -1.249
V -1.262 -0.828 2.003
V 2.079 -1.119 0.847
S 0.202 -4.034 1.601
In 0.000 0.000 0.000

=====

Stability check: which of them is least stable? ii.